Entry 1:
Material: TcAu
Method: DFT, PBE
State: optimized geometry

- Formation energy from the elements: 0.098 eV/atom
- ρ: 15.0 g cm⁻³
- Volume: 65.5 Å³/cell
- E above lowest polymorph: 17.8 meV per atom

a b c (Å): 9.762 9.762 9.762
angles (deg): 16.50 16.50 16.50
Positions (direct):
Tc 0.132 0.132 0.132
Tc 0.868 0.868 0.868
Au 0.379 0.379 0.379
Au 0.621 0.621 0.621



Entry 2:
Material: ZnSe2Br
Method: DFT, PBE
State: optimized geometry

- ρ: 6.0 g cm⁻³
- Volume: 84.3 Å³/cell
- Raw formation energy: 512 meV per atom
- E above lowest polymorph: 802.8 meV per atom

a b c (Å): 4.922 4.922 4.922
angles (deg): 60.00 60.00 60.00
Positions (direct):
Zn 0.000 0.000 0.000
Se 0.250 0.250 0.250
Se 0.750 0.750 0.750
Br 0.500 0.500 0.500



Entry 3:
Material: DyHf2Al
Method: DFT, PBE
State: optimized geometry

- Formation energy from the elements: 0.240 eV/atom
- ρ: 9.8 g cm⁻³
- Volume: 92.5 Å³/cell
- E above lowest polymorph: 359.7 meV per atom

a b c (Å): 11.306 11.306 11.306
angles (deg): 15.72 15.72 15.72
Positions (direct):
Dy 0.000 0.000 0.000
Hf 0.095 0.095 0.095
Hf 0.905 0.905 0.905
Al 0.500 0.500 0.500



Entry 4:
Material: Ge3TeW
Method: DFT, PBE
State: optimized geometry

- ρ: 7.1 g cm⁻³
- Volume: 123.5 Å³/cell
- Raw formation energy: 525 meV per atom
- E above lowest polymorph: 0.0 meV per atom

a b c (Å): 4.980 4.980 4.980
angles (deg): 90.00 90.00 90.00
Positions (direct):
Ge 0.000 0.000 0.500
Ge 0.000 0.500 0.000
Ge 0.500 0.000 0.000
Te 0.500 0.500 0.500
W 0.000 0.000 0.000



Entry 5:
Material: Li3NdS4O12
Method: DFT, PBE
State: optimized geometry

- ρ: 3.5 g cm⁻³
- Volume: 233.4 Å³/cell
- Raw formation energy: -1330 meV per atom

a b c (Å): 6.470 6.470 6.470
angles (deg): 105.63 105.63 105.63
Positions (direct):
Li 0.000 0.579 0.421
Li 0.421 0.000 0.579
Li 0.579 0.421 0.000
Nd 0.000 0.000 0.000
S 0.109 0.500 0.891
S 0.500 0.500 0.500
S 0.500 0.891 0.109
S 0.891 0.109 0.500
O 0.018 0.657 0.752
O 0.038 0.962 0.500
O 0.248 0.343 0.982
O 0.343 0.982 0.248
O 0.361 0.639 0.500
O 0.500 0.038 0.962
O 0.500 0.361 0.639
O 0.639 0.500 0.361
O 0.657 0.752 0.018
O 0.752 0.018 0.657
O 0.962 0.500 0.038
O 0.982 0.248 0.343



Entry 6:
Material: HgPt2Se2
Method: DFT, PBE
State: optimized geometry

- ρ: 9.5 g cm⁻³
- Volume: 130.8 Å³/cell
- Raw formation energy: 90 meV per atom

a b c (Å): 7.576 7.576 7.576
angles (deg): 146.66 146.66 47.86
Positions (direct):
Hg 0.000 0.000 0.000
Pt 0.250 0.750 0.500
Pt 0.750 0.250 0.500
Se 0.342 0.342 0.000
Se 0.658 0.658 0.000



> What is the ρ in the second record?

6.0 g cm⁻³



> Which value of volume does entry 5 give?

233.4 Å³/cell